ErPu5Pt6 | PBE-GGA | optimized geometry

a b c (Å): 4.9269 6.9122 8.6821
angles (deg): 113.46 106.50 90.00
Last column: magnetic moment on the atom in μB.
Sites, in units of the cell vectors:
Pu 0.3273 0.8270 0.6539  5.18
Pu 0.6647 0.6653 0.3306  5.21
Pu 0.0000 0.5000 0.0000  -5.03
Pu 0.3353 0.3347 0.6694  5.21
Pu 0.6727 0.1730 0.3461  5.18
Pt 0.1595 0.4021 0.3203  -0.04
Pt 0.1595 0.9182 0.3203  -0.04
Pt 0.5000 0.2380 0.0000  0.01
Pt 0.5000 0.7620 0.0000  0.01
Pt 0.8405 0.0818 0.6797  -0.04
Pt 0.8405 0.5979 0.6797  -0.04
Er 0.0000 0.0000 0.0000  0.03

Calculated values
Energy of formation   -0.802 eV per atom
Magnetization   16.425 Bohr magnetons per cell
Crystal system   orthorhombic
Raw total energy   -10.174 eV/atom
D(E_F)   54.4 states/eV per cell